First-principles (PBE-GGA) data for Ac2HoCd3Hg12 after structural relaxation, as listed in Alexandria via LeMat-Bulk.

Output
DOS at the Fermi energy: 13.03 states/eV per cell
final energy: -0.08925 Ry per atom
SG: No. 166
formation energy from the elements: -150 meV per atom

a = 13.117 Å, b = 13.117 Å, c = 13.117 Å
α = 30.89°, β = 30.89°, γ = 30.89°
Atoms (fractional coordinates):
Ac (0.136, 0.136, 0.136)
Ac (0.864, 0.864, 0.864)
Ho (0.500, 0.500, 0.500)
Cd (0.000, 0.500, 0.500)
Cd (0.500, 0.000, 0.500)
Cd (0.500, 0.500, 0.000)
Hg (0.087, 0.628, 0.628)
Hg (0.094, 0.094, 0.649)
Hg (0.094, 0.649, 0.094)
Hg (0.351, 0.906, 0.906)
Hg (0.372, 0.372, 0.913)
Hg (0.372, 0.913, 0.372)
Hg (0.628, 0.087, 0.628)
Hg (0.628, 0.628, 0.087)
Hg (0.649, 0.094, 0.094)
Hg (0.906, 0.351, 0.906)
Hg (0.906, 0.906, 0.351)
Hg (0.913, 0.372, 0.372)

First-principles (PBE-GGA) data for AcThZn3 after structural relaxation, as listed in Alexandria via LeMat-Bulk.

Output
DOS at the Fermi energy: 10.42 states/eV per cell
final energy: -0.24226 Ry per atom
SG: No. 63
formation energy from the elements: -226 meV per atom

a = 14.312 Å, b = 14.312 Å, c = 4.635 Å
α = 90.00°, β = 90.00°, γ = 164.75°
Atoms (fractional coordinates):
Ac (0.074, 0.926, 0.750)
Ac (0.926, 0.074, 0.250)
Th (0.212, 0.788, 0.250)
Th (0.788, 0.212, 0.750)
Zn (0.326, 0.674, 0.250)
Zn (0.378, 0.622, 0.750)
Zn (0.477, 0.523, 0.750)
Zn (0.523, 0.477, 0.250)
Zn (0.622, 0.378, 0.250)
Zn (0.674, 0.326, 0.750)

First-principles (PBE-GGA) data for LaPm2Nd5Dy after structural relaxation, as listed in Alexandria via LeMat-Bulk.

Output
DOS at the Fermi energy: 26.77 states/eV per cell
final energy: -0.33067 Ry per atom
SG: No. 140
formation energy from the elements: 264 meV per atom

a = 10.120 Å, b = 10.120 Å, c = 10.120 Å
α = 127.22°, β = 127.22°, γ = 77.89°
Atoms (fractional coordinates):
La (0.250, 0.250, 0.000)
La (0.750, 0.750, 0.000)
Pm (0.116, 0.616, 0.732)
Pm (0.384, 0.116, 0.500)
Pm (0.616, 0.884, 0.500)
Pm (0.884, 0.384, 0.268)
Nd (0.000, 0.000, 0.000)
Nd (0.070, 0.156, 0.500)
Nd (0.156, 0.656, 0.086)
Nd (0.344, 0.430, 0.500)
Nd (0.430, 0.930, 0.086)
Nd (0.500, 0.500, 0.000)
Nd (0.570, 0.070, 0.914)
Nd (0.656, 0.570, 0.500)
Nd (0.844, 0.344, 0.914)
Nd (0.930, 0.844, 0.500)
Dy (0.250, 0.750, 0.500)
Dy (0.750, 0.250, 0.500)